This record from Alexandria via LeMat-Bulk describes a relaxed structure of NaPr2MoO6. The functional is PBE+U.

```
data_NaPr2MoO6
_chemical_formula_sum 'Na2 Pr4 Mo2 O12'
_cell_length_a 5.674
_cell_length_b 6.041
_cell_length_c 9.731
_cell_angle_alpha 90.00
_cell_angle_beta 123.79
_cell_angle_gamma 90.00
_symmetry_space_group_name_H-M 'P 1 21/c 1'
_symmetry_Int_Tables_number 14
_symmetry_space_group_name_Hall '-P 2ybc'
loop_
_atom_site_label
_atom_site_type_symbol
_atom_site_fract_x
_atom_site_fract_y
_atom_site_fract_z
_atom_site_occupancy
Na1 Na 0.000 0.000 0.000 1
Pr1 Pr 0.215 0.067 0.744 1
Mo1 Mo 0.500 0.000 0.500 1
O1 O 0.156 0.179 0.445 1
O2 O 0.250 0.721 0.422 1
O3 O 0.402 0.053 0.276 1
```

## Properties
DOS at the Fermi energy = 0.000 states/eV per atom
Volume = 13.86 Å³ per atom
Final energy = -7.3407 eV per atom